Record 1
This record from Alexandria describes a geometry-optimized PuGa4Ni2Ir structure. The functional is PBE-GGA.

Unit cell a=4.1298 b=4.1298 c=9.1957 alpha=77.02 beta=77.02 gamma=60.00
Sites, in units of the cell vectors:
Ga 0.1285 0.1285 0.6146
Ni 0.2301 0.2301 0.3096
Ga 0.8715 0.8715 0.3854
Ga 0.4015 0.4015 0.7954
Pu 0.0000 0.0000 0.0000
Ga 0.5985 0.5985 0.2046
Ni 0.7699 0.7699 0.6904
Ir 0.5000 0.5000 0.5000

D(E_F): 1.3692 states/eV/atom
formation energy: -0.354 eV/atom
calculated density: 10.54 g cm⁻³
space-group type: R-3m



Record 2
This record from Alexandria describes a geometry-optimized GaNiIrRh2 structure. The functional is PBE-GGA.

Unit cell a=4.4959 b=4.5452 c=4.4959 alpha=90.00 beta=90.00 gamma=90.00
Sites, in units of the cell vectors:
Rh 0.5000 0.0000 0.0000
Rh 0.0000 0.0000 0.5000
Ga 0.0000 0.0000 0.0000
Ir 0.0000 0.5000 0.0000
Ni 0.5000 0.5000 0.5000

D(E_F): 1.4766 states/eV/atom
formation energy: 1.190 eV/atom
calculated density: 9.52 g cm⁻³
space-group type: P4/mmm



Record 3
This record from Alexandria describes a geometry-optimized Ga4NiIrRh2 structure. The functional is PBE-GGA.

Unit cell a=4.2796 b=4.2796 c=7.3958 alpha=73.18 beta=73.18 gamma=60.00
Sites, in units of the cell vectors:
Ga 0.1265 0.1265 0.6206
Rh 0.7509 0.7509 0.7473
Rh 0.2491 0.2491 0.2527
Ga 0.8735 0.8735 0.3794
Ga 0.6230 0.6230 0.1309
Ir 0.0000 0.0000 0.0000
Ni 0.5000 0.5000 0.5000
Ga 0.3770 0.3770 0.8691

D(E_F): 0.8675 states/eV/atom
formation energy: -0.495 eV/atom
calculated density: 11.05 g cm⁻³
space-group type: R-3m